Entry 1:
Entry from Alexandria via LeMat-Bulk: a geometry-optimized Tc2Ag structure (PBE).

It has space group Cmcm (No. 63), with a = 4.041 Å, b = 11.512 Å, c = 4.108 Å, α = 90.00°, β = 90.00° and γ = 90.00°. The inequivalent atoms are Tc at (0.000, 0.113, 0.250), Tc at (0.000, 0.251, 0.750) and Ag at (0.000, 0.423, 0.250).

The value obtained for the magnetization is 0.000 Bohr magnetons per cell.

=====

Entry 2:
Entry from Alexandria via LeMat-Bulk: a geometry-optimized Tc3Ag structure (PBE).

It has space group Pm-3n (No. 223), with a = 4.964 Å, b = 4.964 Å, c = 4.964 Å, α = 90.00°, β = 90.00° and γ = 90.00°. The inequivalent atoms are Tc at (0.000, 0.250, 0.500) and Ag at (0.000, 0.000, 0.000).

The value obtained for the magnetization is 0.002 Bohr magnetons per cell.

=====

Entry 3:
Entry from Alexandria via LeMat-Bulk: a geometry-optimized Tc3Ag2 structure (PBE).

It has space group R-3m (No. 166, hexagonal axes), with a = 2.7711 Å, b = 2.7711 Å, c = 35.6439 Å, α = 90.00°, β = 90.00° and γ = 120.00°. The inequivalent atoms are Tc at (0.0000, 0.0000, 0.0000), Tc at (0.0000, 0.0000, 0.1953) and Ag at (0.0000, 0.0000, 0.4012).

The value obtained for the magnetization is 2.128 Bohr magnetons per cell.

=====

Entry 4:
Entry from Alexandria via LeMat-Bulk: a geometry-optimized TcAg2 structure (PBE).

It has space group C2/m (No. 12), with a = 11.191 Å, b = 2.741 Å, c = 6.796 Å, α = 90.00°, β = 102.56° and γ = 90.00°. The inequivalent atoms are Tc at (0.021, 0.000, 0.345), Ag at (0.127, 0.500, 0.017) and Ag at (0.210, 0.500, 0.657).

The value obtained for the magnetization is 0.000 Bohr magnetons per cell.

=====

Entry 5:
Entry from Alexandria via LeMat-Bulk: a geometry-optimized Tc3Ag structure (PBE).

It has space group Pm-3m (No. 221), with a = 5.137 Å, b = 5.137 Å, c = 5.137 Å, α = 90.00°, β = 90.00° and γ = 90.00°. The inequivalent atoms are Tc at (0.000, 0.000, 0.500) and Ag at (0.000, 0.000, 0.000).

The value obtained for the magnetization is 11.224 Bohr magnetons per cell.

=====

Entry 6:
Entry from Alexandria via LeMat-Bulk: a geometry-optimized Tc2Ag structure (PBE).

It has space group I4/mcm (No. 140), with a = 6.246 Å, b = 6.246 Å, c = 5.156 Å, α = 90.00°, β = 90.00° and γ = 90.00°. The inequivalent atoms are Tc at (0.124, 0.376, 0.000) and Ag at (0.000, 0.000, 0.250).

The value obtained for the magnetization is 0.001 Bohr magnetons per cell.

=====

Entry 7:
Entry from Alexandria via LeMat-Bulk: a geometry-optimized TcAg8 structure (PBE).

It has space group I4/mmm (No. 139), with a = 8.835 Å, b = 8.835 Å, c = 4.098 Å, α = 90.00°, β = 90.00° and γ = 90.00°. The inequivalent atoms are Tc at (0.000, 0.000, 0.000), Ag at (0.000, 0.332, 0.000) and Ag at (0.165, 0.165, 0.500).

The value obtained for the magnetization is 5.698 Bohr magnetons per cell.

=====

Entry 8:
Entry from Alexandria via LeMat-Bulk: a geometry-optimized TcAg2 structure (PBE).

It has space group Pnma (No. 62), with a = 5.970 Å, b = 3.803 Å, c = 9.060 Å, α = 90.00°, β = 90.00° and γ = 90.00°. The inequivalent atoms are Tc at (0.082, 0.250, 0.056), Ag at (0.104, 0.250, 0.409) and Ag at (0.153, 0.250, 0.742).

The value obtained for the magnetization is 0.000 Bohr magnetons per cell.

=====

Entry 9:
Entry from Alexandria via LeMat-Bulk: a geometry-optimized Tc3Ag structure (PBE).

It has space group Pnma (No. 62), with a = 4.766 Å, b = 9.141 Å, c = 5.585 Å, α = 90.00°, β = 90.00° and γ = 90.00°. The inequivalent atoms are Tc at (0.092, 0.250, 0.135), Tc at (0.248, 0.012, 0.361) and Ag at (0.087, 0.250, 0.632).

The value obtained for the magnetization is 0.000 Bohr magnetons per cell.

=====

Entry 10:
Entry from Alexandria via LeMat-Bulk: a geometry-optimized Tc2Ag structure (PBE).

It has space group Pa-3 (No. 205), with a = 6.175 Å, b = 6.175 Å, c = 6.175 Å, α = 90.00°, β = 90.00° and γ = 90.00°. The inequivalent atoms are Tc at (0.100, 0.100, 0.100) and Ag at (0.000, 0.000, 0.500).

The value obtained for the magnetization is 3.174 Bohr magnetons per cell.

=====

Entry 11:
Entry from Alexandria via LeMat-Bulk: a geometry-optimized Tc3Ag structure (PBE).

It has space group R-3m (No. 166, hexagonal axes), with a = 8.9792 Å, b = 8.9792 Å, c = 2.6349 Å, α = 90.00°, β = 90.00° and γ = 120.00°. The inequivalent atoms are Tc at (0.0000, 0.5000, 0.0000) and Ag at (0.0000, 0.0000, 0.0000).

The value obtained for the magnetization is 0.005 Bohr magnetons per cell.

=====

Entry 12:
Entry from Alexandria via LeMat-Bulk: a geometry-optimized TcAg2 structure (PBE).

It has space group P6_3/mmc (No. 194), with a = 4.6664 Å, b = 4.6664 Å, c = 5.6275 Å, α = 90.00°, β = 90.00° and γ = 120.00°. The inequivalent atoms are Tc at (0.3333, 0.6667, 0.2500), Ag at (0.0000, 0.0000, 0.0000) and Ag at (0.3333, 0.6667, 0.7500).

The value obtained for the magnetization is 5.546 Bohr magnetons per cell.

=====

Entry 13:
Entry from Alexandria via LeMat-Bulk: a geometry-optimized Tc2Ag structure (PBE).

It has space group P-3m1 (No. 164), with a = 2.7759 Å, b = 2.7759 Å, c = 7.0481 Å, α = 90.00°, β = 90.00° and γ = 120.00°. The inequivalent atoms are Tc at (0.3333, 0.6667, 0.3554) and Ag at (0.0000, 0.0000, 0.0000).

The value obtained for the magnetization is 0.000 Bohr magnetons per cell.

=====

Entry 14:
Entry from Alexandria via LeMat-Bulk: a geometry-optimized Tc3Ag structure (PBE).

It has space group Fm-3m (No. 225), with a = 6.256 Å, b = 6.256 Å, c = 6.256 Å, α = 90.00°, β = 90.00° and γ = 90.00°. The inequivalent atoms are Tc at (0.000, 0.000, 0.000), Tc at (0.250, 0.250, 0.250) and Ag at (0.000, 0.000, 0.500).

The value obtained for the magnetization is 0.000 Bohr magnetons per cell.

=====

Entry 15:
Entry from Alexandria via LeMat-Bulk: a geometry-optimized Tc2Ag structure (PBE).

It has space group Cm (No. 8), with a = 10.447 Å, b = 2.794 Å, c = 6.630 Å, α = 90.00°, β = 106.77° and γ = 90.00°. The inequivalent atoms are Tc at (0.000, 0.000, 0.000), Tc at (0.038, 0.000, 0.611), Tc at (0.204, 0.500, 0.949), Tc at (0.392, 0.000, 0.255), Ag at (0.167, 0.500, 0.341) and Ag at (0.322, 0.000, 0.678).

The value obtained for the magnetization is 0.002 Bohr magnetons per cell.

=====

Entry 16:
Entry from Alexandria via LeMat-Bulk: a geometry-optimized Tc2Ag structure (PBE).

It has space group C2/m (No. 12), with a = 10.109 Å, b = 2.816 Å, c = 6.813 Å, α = 90.00°, β = 104.25° and γ = 90.00°. The inequivalent atoms are Tc at (0.022, 0.000, 0.327), Tc at (0.191, 0.500, 0.617) and Ag at (0.139, 0.500, 0.035).

The value obtained for the magnetization is 0.000 Bohr magnetons per cell.

=====

Entry 17:
Entry from Alexandria via LeMat-Bulk: a geometry-optimized Tc2Ag structure (PBE).

It has space group Pnma (No. 62), with a = 5.570 Å, b = 3.971 Å, c = 8.506 Å, α = 90.00°, β = 90.00° and γ = 90.00°. The inequivalent atoms are Tc at (0.102, 0.250, 0.084), Tc at (0.108, 0.250, 0.779) and Ag at (0.109, 0.250, 0.415).

The value obtained for the magnetization is 0.000 Bohr magnetons per cell.

=====

Entry 18:
Entry from Alexandria via LeMat-Bulk: a geometry-optimized TcAg2 structure (PBE).

It has space group Cm (No. 8), with a = 10.947 Å, b = 2.762 Å, c = 6.975 Å, α = 90.00°, β = 106.93° and γ = 90.00°. The inequivalent atoms are Tc at (0.000, 0.000, 0.000), Tc at (0.135, 0.500, 0.285), Ag at (0.091, 0.500, 0.700), Ag at (0.271, 0.000, 0.032), Ag at (0.313, 0.000, 0.645) and Ag at (0.423, 0.500, 0.372).

The value obtained for the magnetization is 0.000 Bohr magnetons per cell.

=====

Entry 19:
Entry from Alexandria via LeMat-Bulk: a geometry-optimized TcAg2 structure (PBE).

It has space group Fd-3m (No. 227, origin choice 2), with a = 7.427 Å, b = 7.427 Å, c = 7.427 Å, α = 90.00°, β = 90.00° and γ = 90.00°. The inequivalent atoms are Tc at (0.125, 0.125, 0.125) and Ag at (0.000, 0.000, 0.500).

The value obtained for the magnetization is 0.001 Bohr magnetons per cell.

=====

Entry 20:
Entry from Alexandria via LeMat-Bulk: a geometry-optimized Tc3Ag structure (PBE).

It has space group Immm (No. 71), with a = 2.928 Å, b = 4.595 Å, c = 9.313 Å, α = 90.00°, β = 90.00° and γ = 90.00°. The inequivalent atoms are Tc at (0.000, 0.000, 0.000), Tc at (0.000, 0.500, 0.275) and Ag at (0.000, 0.000, 0.500).

The value obtained for the magnetization is 0.001 Bohr magnetons per cell.

=====

Entry 21:
Entry from Alexandria via LeMat-Bulk: a geometry-optimized TcAg4 structure (PBE).

It has space group Pm-3m (No. 221), with a = 5.117 Å, b = 5.117 Å, c = 5.117 Å, α = 90.00°, β = 90.00° and γ = 90.00°. The inequivalent atoms are Tc at (0.000, 0.000, 0.000), Ag at (0.000, 0.000, 0.500) and Ag at (0.500, 0.500, 0.500).

The value obtained for the magnetization is 2.998 Bohr magnetons per cell.

=====

Entry 22:
Entry from Alexandria via LeMat-Bulk: a geometry-optimized Tc2Ag structure (PBE).

It has space group Fd-3m (No. 227, origin choice 2), with a = 7.326 Å, b = 7.326 Å, c = 7.326 Å, α = 90.00°, β = 90.00° and γ = 90.00°. The inequivalent atoms are Tc at (0.000, 0.000, 0.000) and Ag at (0.125, 0.125, 0.625).

The value obtained for the magnetization is 0.000 Bohr magnetons per cell.

=====

Entry 23:
Entry from Alexandria via LeMat-Bulk: a geometry-optimized TcAg2 structure (PBE).

It has space group P-3m1 (No. 164), with a = 2.7917 Å, b = 2.7917 Å, c = 7.3201 Å, α = 90.00°, β = 90.00° and γ = 120.00°. The inequivalent atoms are Tc at (0.0000, 0.0000, 0.0000) and Ag at (0.3333, 0.6667, 0.6705).

The value obtained for the magnetization is 0.000 Bohr magnetons per cell.

=====

Entry 24:
Entry from Alexandria via LeMat-Bulk: a geometry-optimized TcAg2 structure (PBE).

It has space group Immm (No. 71), with a = 2.683 Å, b = 4.327 Å, c = 8.695 Å, α = 90.00°, β = 90.00° and γ = 90.00°. The inequivalent atoms are Tc at (0.000, 0.000, 0.000) and Ag at (0.000, 0.000, 0.335).

The value obtained for the magnetization is 3.033 Bohr magnetons per cell.

=====

Entry 25:
Entry from Alexandria via LeMat-Bulk: a geometry-optimized Tc3Ag structure (PBE).

It has space group P4/mmm (No. 123), with a = 3.262 Å, b = 3.262 Å, c = 5.944 Å, α = 90.00°, β = 90.00° and γ = 90.00°. The inequivalent atoms are Tc at (0.000, 0.000, 0.000), Tc at (0.500, 0.500, 0.213) and Ag at (0.000, 0.000, 0.500).

The value obtained for the magnetization is 0.038 Bohr magnetons per cell.

=====

Entry 26:
Entry from Alexandria via LeMat-Bulk: a geometry-optimized Tc2Ag structure (PBE).

It has space group Immm (No. 71), with a = 2.755 Å, b = 3.965 Å, c = 8.459 Å, α = 90.00°, β = 90.00° and γ = 90.00°. The inequivalent atoms are Tc at (0.000, 0.000, 0.176) and Ag at (0.000, 0.000, 0.500).

The value obtained for the magnetization is 0.000 Bohr magnetons per cell.

=====

Entry 27:
Entry from Alexandria via LeMat-Bulk: a geometry-optimized Tc3Ag structure (PBE).

It has space group R-3m (No. 166, hexagonal axes), with a = 2.7553 Å, b = 2.7553 Å, c = 28.0238 Å, α = 90.00°, β = 90.00° and γ = 120.00°. The inequivalent atoms are Tc at (0.0000, 0.0000, 0.0000), Tc at (0.0000, 0.0000, 0.2555) and Ag at (0.0000, 0.0000, 0.5000).

The value obtained for the magnetization is 0.000 Bohr magnetons per cell.

=====

| no. | formation energy (kJ per mole of atoms) |
| --- | --- |
| 1 | 39 |
| 2 | 50 |
| 3 | 36 |
| 4 | 39 |
| 5 | 325 |
| 6 | 77 |
| 7 | 29 |
| 8 | 41 |
| 9 | 38 |
| 10 | 145 |
| 11 | 57 |
| 12 | 83 |
| 13 | 21 |
| 14 | 57 |
| 15 | 44 |
| 16 | 27 |
| 17 | 42 |
| 18 | 44 |
| 19 | 85 |
| 20 | 50 |
| 21 | 140 |
| 22 | 60 |
| 23 | 40 |
| 24 | 62 |
| 25 | 51 |
| 26 | 42 |
| 27 | 23 |